1.
First-principles (PBE-GGA) data for a relaxed SrAgSnSe2 crystal, as listed in Alexandria.

Its crystal system is tetragonal. The magnetization is 0.00 μB per cell. The value obtained for the uncorrected formation energy is -42 meV per atom.

The space group is P4/mmm (No. 123) and the conventional cell measures 5.202, 5.202 and 5.553 Å, with angles of 90.00, 90.00 and 90.00 degrees. The distinct sites, in fractional coordinates, are Sr at (0.000, 0.000, 0.000), Ag at (0.000, 0.000, 0.500), Sn at (0.500, 0.500, 0.000) and Se at (0.000, 0.500, 0.500).


2.
First-principles (PBE-GGA) data for a relaxed Sr2AgSnSe5 crystal, as listed in Alexandria.

Its crystal system is orthorhombic. The magnetization is 0.00 μB per cell. The value obtained for the uncorrected formation energy is -956 meV per atom.

The space group is Cmc2_1 (No. 36) and the conventional cell measures 4.129, 19.876 and 12.365 Å, with angles of 90.00, 90.00 and 90.00 degrees. The distinct sites, in fractional coordinates, are Sr at (0.000, 0.117, 0.000), Sr at (0.000, 0.128, 0.359), Ag at (0.000, 0.228, 0.732), Sn at (0.000, 0.431, 0.147), Se at (0.000, 0.034, 0.765), Se at (0.000, 0.285, 0.375), Se at (0.000, 0.307, 0.092), Se at (0.000, 0.365, 0.682) and Se at (0.000, 0.487, 0.962).


| no. | N(E_F) (states/eV/atom) |
| --- | --- |
| 1 | 0.79 |
| 2 | 0.54 |